Density functional theory data (SCAN) for a crystal of BeRhN2 relaxed with PBEsol.

E_tot (eV per atom): -14.2827
Formation energy (no corrections) (meV per atom): -106
Mass density (g/cm3): 6.16
Spin magnetization (μB/f.u.): 0.0

a = 4.3107 Å, b = 4.3107 Å, c = 5.0783 Å
α = 115.11°, β = 115.11°, γ = 90.00°
Last column: nearest neighbours and their distance in Å.
Positions (direct):
1 N 0.1250 0.1659 0.7500  2 Be 1.73, 2 Rh 1.94
2 Be 0.7500 0.2500 0.5000  4 N 1.73
3 N 0.6250 0.5841 0.7500  2 Be 1.73, 2 Rh 1.94
4 N 0.8341 0.3750 0.2500  2 Be 1.73, 2 Rh 1.94
5 Be 0.5000 0.5000 0.0000  4 N 1.73
6 N 0.4159 0.8750 0.2500  2 Be 1.73, 2 Rh 1.94
7 Rh 0.2500 0.7500 0.5000  4 N 1.94
8 Rh 0.0000 0.0000 0.0000  4 N 1.94

Density functional theory data (SCAN) for a crystal of Be3RhN relaxed with PBEsol.

E_tot (eV per atom): -9.8760
Formation energy (no corrections) (meV per atom): 1349
Mass density (g/cm3): 3.63
Spin magnetization (μB/f.u.): 0.0

a = 4.0399 Å, b = 4.0399 Å, c = 4.0399 Å
α = 90.00°, β = 90.00°, γ = 90.00°
Last column: nearest neighbours and their distance in Å.
Positions (direct):
1 Be 0.0000 0.5000 0.0000  2 Rh 2.02
2 Be 0.5000 0.0000 0.0000  2 Rh 2.02
3 N 0.5000 0.5000 0.5000  12 Be 2.86
4 Be 0.0000 0.0000 0.5000  2 Rh 2.02
5 Rh 0.0000 0.0000 0.0000  6 Be 2.02

Density functional theory data (SCAN) for a crystal of Be3RuN relaxed with PBEsol.

E_tot (eV per atom): -11.5270
Formation energy (no corrections) (meV per atom): -91
Mass density (g/cm3): 5.50
Spin magnetization (μB/f.u.): 0.0

a = 3.5007 Å, b = 3.5007 Å, c = 3.5007 Å
α = 90.00°, β = 90.00°, γ = 90.00°
Last column: nearest neighbours and their distance in Å.
Positions (direct):
1 Ru 0.5000 0.5000 0.5000  12 Be 2.48
2 Be 0.0000 0.5000 0.0000  2 N 1.75
3 N 0.0000 0.0000 0.0000  6 Be 1.75
4 Be 0.0000 0.0000 0.5000  2 N 1.75
5 Be 0.5000 0.0000 0.0000  2 N 1.75